[1]
The following is a GGA-PBE calculation of crystalline RbAsIrAu at its relaxed geometry, from Alexandria via LeMat-Bulk.

Values from the calculation:
Its magnetic moment is 0.00 μB/cell. Its energy relative to the elements is -0.3494 eV/atom.

```
data_RbAsIrAu
_symmetry_space_group_name_H-M 'P 1'
_symmetry_Int_Tables_number 1
_symmetry_space_group_name_Hall 'P 1'
_cell_length_a 4.021
_cell_length_b 4.021
_cell_length_c 12.871
_cell_angle_alpha 90.00
_cell_angle_beta 90.00
_cell_angle_gamma 90.00
loop_
_atom_site_label
_atom_site_type_symbol
_atom_site_fract_x
_atom_site_fract_y
_atom_site_fract_z
_atom_site_occupancy
Rb1 Rb 0.750 0.750 0.275 1
Rb2 Rb 0.250 0.250 0.725 1
As1 As 0.750 0.750 0.890 1
As2 As 0.250 0.250 0.110 1
Ir1 Ir 0.750 0.250 0.000 1
Ir2 Ir 0.250 0.750 0.000 1
Au1 Au 0.250 0.750 0.500 1
Au2 Au 0.750 0.250 0.500 1
```

---

[2]
The following is a GGA-PBE calculation of crystalline Tl3ReAs at its relaxed geometry, from Alexandria via LeMat-Bulk.

Values from the calculation:
Its magnetic moment is 3.11 μB/cell. Its energy relative to the elements is 0.9470 eV/atom. The value obtained for the excess energy over the best structure of this formula in the dataset is 0.000 eV/atom.

```
data_Tl3ReAs
_symmetry_space_group_name_H-M 'P 1'
_symmetry_Int_Tables_number 1
_symmetry_space_group_name_Hall 'P 1'
_cell_length_a 5.365
_cell_length_b 5.365
_cell_length_c 5.365
_cell_angle_alpha 90.00
_cell_angle_beta 90.00
_cell_angle_gamma 90.00
loop_
_atom_site_label
_atom_site_type_symbol
_atom_site_fract_x
_atom_site_fract_y
_atom_site_fract_z
_atom_site_occupancy
Re1 Re 0.000 0.000 0.000 1
Tl1 Tl 0.000 0.500 0.000 1
Tl2 Tl 0.000 0.000 0.500 1
Tl3 Tl 0.500 0.000 0.000 1
As1 As 0.500 0.500 0.500 1
```

---

[3]
The following is a GGA-PBE calculation of crystalline Nd3Dy2Se6 at its relaxed geometry, from Alexandria via LeMat-Bulk.

Values from the calculation:
Its magnetic moment is 0.00 μB/cell. The calculation puts the uncorrected formation energy at -1820 meV per atom.

```
data_Nd3Dy2Se6
_symmetry_space_group_name_H-M 'P 1'
_symmetry_Int_Tables_number 1
_symmetry_space_group_name_Hall 'P 1'
_cell_length_a 4.182
_cell_length_b 4.182
_cell_length_c 20.874
_cell_angle_alpha 84.25
_cell_angle_beta 84.25
_cell_angle_gamma 60.00
loop_
_atom_site_label
_atom_site_type_symbol
_atom_site_fract_x
_atom_site_fract_y
_atom_site_fract_z
_atom_site_occupancy
Nd1 Nd 0.000 0.000 0.000 1
Nd2 Nd 0.278 0.278 0.167 1
Nd3 Nd 0.722 0.722 0.833 1
Dy1 Dy 0.448 0.448 0.656 1
Dy2 Dy 0.552 0.552 0.344 1
Se1 Se 0.085 0.085 0.744 1
Se2 Se 0.915 0.915 0.256 1
Se3 Se 0.197 0.197 0.410 1
Se4 Se 0.803 0.803 0.590 1
Se5 Se 0.361 0.361 0.916 1
Se6 Se 0.639 0.639 0.084 1
```

---

> Among the records above, which one has the highest magnetic moment?

Tl3ReAs

---

> magnetic moment of number 2 (Tl3ReAs)?

3.11 μB/cell